Below is an optimized crystal structure of NaPu3Be4O12, with properties calculated at the PBE level.

Results
Raw formation energy ... -50.9 eV/f.u.
Symmetry ... R32

Unit cell a=6.6668 b=6.6668 c=6.6668 alpha=103.78 beta=103.78 gamma=103.78
Atoms (fractional coordinates):
Na: 0.0000 0.0000 0.0000
Pu: 0.0000 0.5514 0.4486
Pu: 0.4486 0.0000 0.5514
Pu: 0.5514 0.4486 0.0000
Be: 0.0569 0.5000 0.9431
Be: 0.5000 0.5000 0.5000
Be: 0.5000 0.9431 0.0569
Be: 0.9431 0.0569 0.5000
O: 0.0244 0.6174 0.7707
O: 0.0936 0.9064 0.5000
O: 0.2293 0.3826 0.9756
O: 0.3526 0.6474 0.5000
O: 0.3826 0.9756 0.2293
O: 0.5000 0.0936 0.9064
O: 0.5000 0.3526 0.6474
O: 0.6174 0.7707 0.0244
O: 0.6474 0.5000 0.3526
O: 0.7707 0.0244 0.6174
O: 0.9064 0.5000 0.0936
O: 0.9756 0.2293 0.3826


Below is an optimized crystal structure of Na4Pu3BeO8, with properties calculated at the PBE level.

Results
Raw formation energy ... -35.5 eV/f.u.
Symmetry ... C2/m

Unit cell a=6.8791 b=6.8791 c=6.6568 alpha=118.17 beta=118.17 gamma=57.07
Atoms (fractional coordinates):
Na: 0.0000 0.0000 0.0000
Na: 0.0000 0.5000 0.0000
Na: 0.5000 0.0000 0.0000
Na: 0.5000 0.5000 0.0000
Pu: 0.0000 0.0000 0.5000
Pu: 0.0000 0.5000 0.5000
Pu: 0.5000 0.0000 0.5000
Be: 0.5000 0.5000 0.5000
O: 0.2207 0.2207 0.2440
O: 0.2298 0.2298 0.7212
O: 0.2694 0.6836 0.6711
O: 0.3164 0.7306 0.3289
O: 0.6836 0.2694 0.6711
O: 0.7306 0.3164 0.3289
O: 0.7702 0.7702 0.2788
O: 0.7793 0.7793 0.7560


Below is an optimized crystal structure of NaPuBeO4, with properties calculated at the PBE level.

Results
Raw formation energy ... -16.0 eV/f.u.
Symmetry ... Cmcm

Unit cell a=5.2967 b=5.2967 c=6.6836 alpha=90.00 beta=90.00 gamma=114.83
Atoms (fractional coordinates):
Na: 0.0000 0.0000 0.0000
Na: 0.0000 0.0000 0.5000
Pu: 0.3096 0.6904 0.7500
Pu: 0.6904 0.3096 0.2500
Be: 0.3891 0.6109 0.2500
Be: 0.6109 0.3891 0.7500
O: 0.2776 0.2787 0.7500
O: 0.2787 0.2776 0.2500
O: 0.2815 0.7185 0.0462
O: 0.2815 0.7185 0.4538
O: 0.7185 0.2815 0.5462
O: 0.7185 0.2815 0.9538
O: 0.7213 0.7224 0.7500
O: 0.7224 0.7213 0.2500


Below is an optimized crystal structure of Na3Pu3BeO8, with properties calculated at the PBE level.

Results
Raw formation energy ... -35.4 eV/f.u.
Symmetry ... C2/m

Unit cell a=6.6853 b=6.6853 c=6.9194 alpha=120.42 beta=120.42 gamma=63.87
Atoms (fractional coordinates):
Na: 0.0000 0.0000 0.0000
Na: 0.0000 0.5000 0.0000
Na: 0.5000 0.0000 0.0000
Pu: 0.0000 0.5000 0.5000
Pu: 0.5000 0.0000 0.5000
Pu: 0.5000 0.5000 0.5000
Be: 0.0000 0.0000 0.5000
O: 0.1700 0.1700 0.6438
O: 0.2516 0.2516 0.2797
O: 0.2662 0.7044 0.7162
O: 0.2956 0.7338 0.2838
O: 0.7044 0.2662 0.7162
O: 0.7338 0.2956 0.2838
O: 0.7484 0.7484 0.7203
O: 0.8300 0.8300 0.3562